# 1
The following is a DFT calculation (PBE) of crystalline SmThRhAu at its relaxed geometry.

Values from the calculation:
Relative energy among the computed polymorphs, meV/atom: 0
Size of the total moment, μB per cell: 0.00
Crystal system: orthorhombic

Structure (POSCAR):
```
SmThRhAu
1.0
4.176 0.000 0.000
0.000 1.982 5.982
0.000 -1.982 5.982
Sm Th Rh Au
1 1 1 1
Cartesian
0.000 0.000 0.000
2.088 0.000 8.622
0.000 0.000 2.964
2.088 0.000 5.160
```

# 2
The following is a DFT calculation (PBE) of crystalline LaRu2W at its relaxed geometry.

Values from the calculation:
Size of the total moment, μB per cell: 0.00
Crystal system: tetragonal

Structure (POSCAR):
```
LaRu2W
1.0
-3.643 3.643 3.113
3.643 -3.643 3.113
3.643 3.643 -3.113
La Ru W
2 4 2
Cartesian
0.000 0.000 0.000
0.000 3.643 1.557
1.822 -1.446 2.335
2.197 1.822 0.778
1.822 5.089 -0.778
1.446 1.822 3.891
3.643 0.000 1.557
0.000 0.000 3.113
```

no.,energy relative to the elements (meV per atom)
1,-852
2,449